Entry 1:
# CaICl | Alexandria | PBE | relaxed
data_CaICl
_chemical_formula_sum 'Ca2 I2 Cl2'
_cell_length_a 4.406
_cell_length_b 6.438
_cell_length_c 7.946
_cell_angle_alpha 100.65
_cell_angle_beta 106.07
_cell_angle_gamma 90.03
_space_group_name_H-M_alt 'P 1'
_space_group_IT_number 1
loop_
_space_group_symop_operation_xyz
'x,y,z'
loop_
_atom_site_label
_atom_site_fract_x
_atom_site_fract_y
_atom_site_fract_z
Ca1 0.000 0.000 0.000
Ca2 0.254 0.828 0.508
I1 0.066 0.560 0.130
I2 0.670 0.108 0.338
Cl1 0.414 0.116 0.827
Cl2 0.833 0.694 0.667
# Uncorrected formation energy ... -1940 meV/atom
# D(E_F) ... 0.0 states/eV/cell

=====

Entry 2:
# RbBaI2N | Alexandria | PBE | relaxed
data_RbBaI2N
_chemical_formula_sum 'Rb1 Ba1 I2 N1'
_cell_length_a 6.589
_cell_length_b 6.589
_cell_length_c 5.186
_cell_angle_alpha 90.00
_cell_angle_beta 90.00
_cell_angle_gamma 90.00
_space_group_name_H-M_alt 'P 1'
_space_group_IT_number 1
loop_
_space_group_symop_operation_xyz
'x,y,z'
loop_
_atom_site_label
_atom_site_fract_x
_atom_site_fract_y
_atom_site_fract_z
Rb1 0.000 0.000 0.000
Ba1 0.500 0.500 0.500
I1 0.000 0.500 0.000
I2 0.500 0.000 0.000
N1 0.000 0.000 0.500
# Uncorrected formation energy ... -45 meV/atom
# D(E_F) ... 4.4 states/eV/cell
# E above lowest polymorph ... 0.499 eV/atom

=====

Entry 3:
# GeAsP | Alexandria | PBE | relaxed
data_GeAsP
_chemical_formula_sum 'Ge2 As2 P2'
_cell_length_a 4.984
_cell_length_b 5.419
_cell_length_c 5.722
_cell_angle_alpha 79.39
_cell_angle_beta 72.09
_cell_angle_gamma 83.50
_space_group_name_H-M_alt 'P 1'
_space_group_IT_number 1
loop_
_space_group_symop_operation_xyz
'x,y,z'
loop_
_atom_site_label
_atom_site_fract_x
_atom_site_fract_y
_atom_site_fract_z
Ge1 0.000 0.000 0.000
Ge2 0.251 0.785 0.314
As1 0.306 0.369 0.827
As2 0.925 0.692 0.751
P1 0.251 0.360 0.253
P2 0.577 0.072 0.327
# E above lowest polymorph ... 0.120 eV/atom
# Calculated formation energy ... 0.12 eV per atom

=====

Entry 4:
# Nd2Sm6DyTm | Alexandria | PBE | relaxed
data_Nd2Sm6DyTm
_chemical_formula_sum 'Nd4 Sm12 Dy2 Tm2'
_cell_length_a 8.908
_cell_length_b 8.908
_cell_length_c 9.770
_cell_angle_alpha 94.32
_cell_angle_beta 94.32
_cell_angle_gamma 118.17
_space_group_name_H-M_alt 'P 1'
_space_group_IT_number 1
loop_
_space_group_symop_operation_xyz
'x,y,z'
loop_
_atom_site_label
_atom_site_fract_x
_atom_site_fract_y
_atom_site_fract_z
Nd1 0.196 0.299 0.042
Nd2 0.299 0.196 0.542
Nd3 0.701 0.804 0.458
Nd4 0.804 0.701 0.958
Sm1 0.017 0.574 0.189
Sm2 0.125 0.752 0.556
Sm3 0.248 0.875 0.944
Sm4 0.291 0.502 0.381
Sm5 0.426 0.983 0.311
Sm6 0.498 0.709 0.119
Sm7 0.502 0.291 0.881
Sm8 0.574 0.017 0.689
Sm9 0.709 0.498 0.619
Sm10 0.752 0.125 0.056
Sm11 0.875 0.248 0.444
Sm12 0.983 0.426 0.811
Dy1 0.020 0.980 0.250
Dy2 0.980 0.020 0.750
Tm1 0.408 0.592 0.750
Tm2 0.592 0.408 0.250
# D(E_F) ... 28.0 states/eV/cell
# Calculated formation energy ... 0.12 eV per atom

=====

Entry 5:
# SmThAgSn | Alexandria | PBE | relaxed
data_SmThAgSn
_chemical_formula_sum 'Sm1 Th1 Ag1 Sn1'
_cell_length_a 5.364
_cell_length_b 5.364
_cell_length_c 5.364
_cell_angle_alpha 60.00
_cell_angle_beta 60.00
_cell_angle_gamma 60.00
_space_group_name_H-M_alt 'P 1'
_space_group_IT_number 1
loop_
_space_group_symop_operation_xyz
'x,y,z'
loop_
_atom_site_label
_atom_site_fract_x
_atom_site_fract_y
_atom_site_fract_z
Sm1 0.000 0.000 0.000
Th1 0.500 0.500 0.500
Ag1 0.250 0.250 0.250
Sn1 0.750 0.750 0.750
# D(E_F) ... 3.3 states/eV/cell
# Calculated formation energy ... -0.37 eV per atom

=====

Entry 6:
# Ca2DyPd | Alexandria | PBE | relaxed
data_Ca2DyPd
_chemical_formula_sum 'Ca2 Dy1 Pd1'
_cell_length_a 11.595
_cell_length_b 11.595
_cell_length_c 11.595
_cell_angle_alpha 17.39
_cell_angle_beta 17.39
_cell_angle_gamma 17.39
_space_group_name_H-M_alt 'P 1'
_space_group_IT_number 1
loop_
_space_group_symop_operation_xyz
'x,y,z'
loop_
_atom_site_label
_atom_site_fract_x
_atom_site_fract_y
_atom_site_fract_z
Ca1 0.077 0.077 0.077
Ca2 0.923 0.923 0.923
Dy1 0.500 0.500 0.500
Pd1 0.000 0.000 0.000
# D(E_F) ... 4.1 states/eV/cell
# Calculated formation energy ... 0.18 eV per atom

=====

Entry 7:
# TiAu6 | Alexandria | PBE | relaxed
data_TiAu6
_chemical_formula_sum 'Ti1 Au6'
_cell_length_a 6.440
_cell_length_b 6.440
_cell_length_c 6.440
_cell_angle_alpha 109.47
_cell_angle_beta 109.47
_cell_angle_gamma 109.47
_space_group_name_H-M_alt 'P 1'
_space_group_IT_number 1
loop_
_space_group_symop_operation_xyz
'x,y,z'
loop_
_atom_site_label
_atom_site_fract_x
_atom_site_fract_y
_atom_site_fract_z
Ti1 0.000 0.000 0.000
Au1 0.250 0.500 0.750
Au2 0.250 0.750 0.500
Au3 0.500 0.250 0.750
Au4 0.500 0.750 0.250
Au5 0.750 0.250 0.500
Au6 0.750 0.500 0.250
# D(E_F) ... 7.9 states/eV/cell
# Calculated formation energy ... 0.88 eV per atom

=====

Entry 8:
# Ho3Zn2Ga | Alexandria | PBE | relaxed
data_Ho3Zn2Ga
_chemical_formula_sum 'Ho3 Zn2 Ga1'
_cell_length_a 5.019
_cell_length_b 5.019
_cell_length_c 6.174
_cell_angle_alpha 90.00
_cell_angle_beta 90.00
_cell_angle_gamma 120.00
_space_group_name_H-M_alt 'P 1'
_space_group_IT_number 1
loop_
_space_group_symop_operation_xyz
'x,y,z'
loop_
_atom_site_label
_atom_site_fract_x
_atom_site_fract_y
_atom_site_fract_z
Ho1 0.000 0.000 0.000
Ho2 0.333 0.667 0.666
Ho3 0.667 0.333 0.334
Zn1 0.333 0.667 0.154
Zn2 0.667 0.333 0.846
Ga1 0.000 0.000 0.500
# D(E_F) ... 6.4 states/eV/cell
# E above lowest polymorph ... 0.000 eV/atom
# Calculated formation energy ... -0.43 eV per atom

=====

Entry 9:
# LaPm4Y7 | Alexandria | PBE | relaxed
data_LaPm4Y7
_chemical_formula_sum 'La1 Pm4 Y7'
_cell_length_a 6.809
_cell_length_b 6.809
_cell_length_c 12.843
_cell_angle_alpha 114.47
_cell_angle_beta 114.47
_cell_angle_gamma 51.87
_space_group_name_H-M_alt 'P 1'
_space_group_IT_number 1
loop_
_space_group_symop_operation_xyz
'x,y,z'
loop_
_atom_site_label
_atom_site_fract_x
_atom_site_fract_y
_atom_site_fract_z
La1 0.000 0.000 0.000
Pm1 0.236 0.236 0.675
Pm2 0.365 0.365 0.224
Pm3 0.635 0.635 0.776
Pm4 0.764 0.764 0.325
Y1 0.064 0.064 0.324
Y2 0.210 0.210 0.923
Y3 0.366 0.366 0.500
Y4 0.500 0.500 0.000
Y5 0.634 0.634 0.500
Y6 0.790 0.790 0.077
Y7 0.936 0.936 0.676
# D(E_F) ... 21.4 states/eV/cell
# E above lowest polymorph ... 0.180 eV/atom
# Calculated formation energy ... 0.26 eV per atom

=====

Entry 10:
# NpTiSe3 | Alexandria | PBE | relaxed
data_NpTiSe3
_chemical_formula_sum 'Np4 Ti4 Se12'
_cell_length_a 11.078
_cell_length_b 6.913
_cell_length_c 5.930
_cell_angle_alpha 90.00
_cell_angle_beta 90.00
_cell_angle_gamma 90.00
_space_group_name_H-M_alt 'P 1'
_space_group_IT_number 1
loop_
_space_group_symop_operation_xyz
'x,y,z'
loop_
_atom_site_label
_atom_site_fract_x
_atom_site_fract_y
_atom_site_fract_z
Np1 0.153 0.049 0.250
Np2 0.153 0.451 0.750
Np3 0.847 0.549 0.250
Np4 0.847 0.951 0.750
Ti1 0.425 0.250 0.000
Ti2 0.425 0.250 0.500
Ti3 0.575 0.750 0.000
Ti4 0.575 0.750 0.500
Se1 0.033 0.750 0.000
Se2 0.033 0.750 0.500
Se3 0.260 0.076 0.750
Se4 0.260 0.424 0.250
Se5 0.409 0.575 0.750
Se6 0.409 0.925 0.250
Se7 0.591 0.075 0.750
Se8 0.591 0.425 0.250
Se9 0.740 0.576 0.750
Se10 0.740 0.924 0.250
Se11 0.967 0.250 0.000
Se12 0.967 0.250 0.500
# Uncorrected formation energy ... -1087 meV/atom
# D(E_F) ... 37.8 states/eV/cell
# E above lowest polymorph ... 0.047 eV/atom

=====

Entry 11:
# La2InSnRu | Alexandria | PBE | relaxed
data_La2InSnRu
_chemical_formula_sum 'La2 In1 Sn1 Ru1'
_cell_length_a 5.943
_cell_length_b 5.943
_cell_length_c 5.188
_cell_angle_alpha 90.00
_cell_angle_beta 90.00
_cell_angle_gamma 90.00
_space_group_name_H-M_alt 'P 1'
_space_group_IT_number 1
loop_
_space_group_symop_operation_xyz
'x,y,z'
loop_
_atom_site_label
_atom_site_fract_x
_atom_site_fract_y
_atom_site_fract_z
La1 0.000 0.500 0.000
La2 0.500 0.000 0.000
In1 0.000 0.000 0.000
Sn1 0.000 0.000 0.500
Ru1 0.500 0.500 0.500
# D(E_F) ... 4.4 states/eV/cell
# E above lowest polymorph ... 1.372 eV/atom
# Calculated formation energy ... 0.94 eV per atom

=====

Entry 12:
# NaV2S4 | Alexandria | PBE | relaxed
data_NaV2S4
_chemical_formula_sum 'Na2 V4 S8'
_cell_length_a 6.112
_cell_length_b 6.112
_cell_length_c 12.372
_cell_angle_alpha 90.00
_cell_angle_beta 90.00
_cell_angle_gamma 147.16
_space_group_name_H-M_alt 'P 1'
_space_group_IT_number 1
loop_
_space_group_symop_operation_xyz
'x,y,z'
loop_
_atom_site_label
_atom_site_fract_x
_atom_site_fract_y
_atom_site_fract_z
Na1 0.114 0.886 0.750
Na2 0.886 0.114 0.250
V1 0.368 0.632 0.573
V2 0.368 0.632 0.927
V3 0.632 0.368 0.073
V4 0.632 0.368 0.427
S1 0.000 0.000 0.000
S2 0.000 0.000 0.500
S3 0.269 0.731 0.102
S4 0.269 0.731 0.398
S5 0.421 0.579 0.750
S6 0.579 0.421 0.250
S7 0.731 0.269 0.602
S8 0.731 0.269 0.898
# Uncorrected formation energy ... -869 meV/atom
# D(E_F) ... 8.3 states/eV/cell
# E above lowest polymorph ... 0.124 eV/atom

=====

Total DFT energy (no corrections) for the records above, in order: -3.740; -2.908; -4.774; -4.577; -5.115; -3.271; -3.056; -3.648; -5.506; -7.345; -4.231; -6.021 eV/atom
M_tot for the records above, in order: 0.00; 2.10; 0.00; 0.00; 0.00; 0.00; 2.91; 0.00; 0.00; 4.47; 1.20; 3.00 μB/f.u.